(1)
Compound: Sm2Dy9Er
Source: Alexandria via LeMat-Bulk
Functional: PBE-GGA
Structure: relaxed

Calculated values
The distance to the lowest polymorph of the same formula is 0.0000 eV per atom. The theoretical density is 8.4 Mg/m³. The value obtained for the energy of formation is 0.02 eV/atom.

a = 5.0245 Å, b = 5.0245 Å, c = 15.0736 Å
α = 90.00°, β = 90.00°, γ = 90.00°
Closest atoms and distances in Å follow each position.
Fractional coordinates of all 12 atoms:
Sm1 0.0000 0.0000 0.1674  12 Dy 3.55-3.56
Sm2 0.0000 0.0000 0.8326  12 Dy 3.55-3.56
Dy1 0.0000 0.5000 0.0000  8 Dy 3.55-3.57, 4 Sm 3.56
Dy2 0.0000 0.5000 0.3350  8 Dy 3.53-3.56, 2 Er 3.53, 2 Sm 3.56
Dy3 0.0000 0.5000 0.6650  8 Dy 3.53-3.56, 2 Er 3.53, 2 Sm 3.56
Dy4 0.5000 0.0000 0.0000  8 Dy 3.55-3.57, 4 Sm 3.56
Dy5 0.5000 0.0000 0.3350  8 Dy 3.53-3.56, 2 Er 3.53, 2 Sm 3.56
Dy6 0.5000 0.0000 0.6650  8 Dy 3.53-3.56, 2 Er 3.53, 2 Sm 3.56
Dy7 0.5000 0.5000 0.1678  4 Sm 3.55, 8 Dy 3.56-3.57
Dy8 0.5000 0.5000 0.5000  8 Dy 3.53, 4 Er 3.55
Dy9 0.5000 0.5000 0.8322  4 Sm 3.55, 8 Dy 3.56-3.57
Er1 0.0000 0.0000 0.5000  12 Dy 3.53-3.55



(2)
Compound: Pm2InPd3
Source: Alexandria via LeMat-Bulk
Functional: PBE-GGA
Structure: relaxed

Calculated values
The distance to the lowest polymorph of the same formula is 0.0000 eV per atom. The theoretical density is 8.9 Mg/m³. The value obtained for the energy of formation is -0.71 eV/atom.

a = 6.4920 Å, b = 6.4920 Å, c = 8.7506 Å
α = 109.72°, β = 109.72°, γ = 52.07°
Closest atoms and distances in Å follow each position.
Fractional coordinates of all 12 atoms:
Pm1 0.1809 0.1924 0.0926  6 Pd 2.92-3.21
Pm2 0.1924 0.1809 0.5926  6 Pd 2.92-3.21
Pm3 0.8076 0.8191 0.4074  6 Pd 2.92-3.21
Pm4 0.8191 0.8076 0.9074  6 Pd 2.92-3.21
In1 0.2961 0.7039 0.7500  6 Pd 2.81-2.86
In2 0.7039 0.2961 0.2500  6 Pd 2.81-2.86
Pd1 0.2024 0.7976 0.2500  2 In 2.84-2.86, 4 Pd 3.06-3.11, 2 Pm 3.18
Pd2 0.3689 0.3807 0.4365  1 Pd 2.71, 2 In 2.81-2.83, 4 Pm 2.92-2.99
Pd3 0.3807 0.3689 0.9365  1 Pd 2.71, 2 In 2.81-2.83, 4 Pm 2.92-2.99
Pd4 0.6193 0.6311 0.0635  1 Pd 2.71, 2 In 2.81-2.83, 4 Pm 2.92-2.99
Pd5 0.6311 0.6193 0.5635  1 Pd 2.71, 2 In 2.81-2.83, 4 Pm 2.92-2.99
Pd6 0.7976 0.2024 0.7500  2 In 2.84-2.86, 4 Pd 3.06-3.11, 2 Pm 3.18



(3)
Compound: LaPuZnO6
Source: Alexandria via LeMat-Bulk
Functional: PBE-GGA
Structure: relaxed

Calculated values
The uncorrected formation energy comes out at -2436 meV/atom. The theoretical density is 6.8 Mg/m³.

a = 5.3849 Å, b = 5.3849 Å, c = 10.5950 Å
α = 90.00°, β = 90.00°, γ = 120.00°
Closest atoms and distances in Å follow each position.
Fractional coordinates of all 18 atoms:
La1 0.0000 0.0000 0.0000  6 O 2.44
La2 0.0000 0.0000 0.5000  6 O 2.44
Pu1 0.3333 0.6667 0.2500  6 O 2.02
Pu2 0.6667 0.3333 0.7500  6 O 2.02
Zn1 0.3333 0.6667 0.7500  6 O 2.14
Zn2 0.6667 0.3333 0.2500  6 O 2.14
O1 0.0171 0.3655 0.1418  1 Pu 2.02, 1 Zn 2.14
O2 0.0171 0.6516 0.3582  1 Pu 2.02, 1 Zn 2.14
O3 0.3484 0.3655 0.3582  1 Pu 2.02, 1 Zn 2.14
O4 0.3484 0.9829 0.1418  1 Pu 2.02, 1 Zn 2.14
O5 0.3655 0.0171 0.6418  1 Pu 2.02, 1 Zn 2.14
O6 0.3655 0.3484 0.8582  1 Pu 2.02, 1 Zn 2.14
O7 0.6345 0.6516 0.1418  1 Pu 2.02, 1 Zn 2.14
O8 0.6345 0.9829 0.3582  1 Pu 2.02, 1 Zn 2.14
O9 0.6516 0.0171 0.8582  1 Pu 2.02, 1 Zn 2.14
O10 0.6516 0.6345 0.6418  1 Pu 2.02, 1 Zn 2.14
O11 0.9829 0.3484 0.6418  1 Pu 2.02, 1 Zn 2.14
O12 0.9829 0.6345 0.8582  1 Pu 2.02, 1 Zn 2.14



(4)
Compound: K3Dy3ZrTe8
Source: Alexandria via LeMat-Bulk
Functional: PBE-GGA
Structure: relaxed

Calculated values
The uncorrected formation energy comes out at -1278 meV/atom. The theoretical density is 5.1 Mg/m³.

a = 9.8436 Å, b = 9.8436 Å, c = 9.8436 Å
α = 52.92°, β = 52.92°, γ = 52.92°
Closest atoms and distances in Å follow each position.
Fractional coordinates of all 15 atoms:
K1 0.0000 0.5000 0.5000  6 Te 3.53-3.54
K2 0.5000 0.0000 0.5000  6 Te 3.53-3.54
K3 0.5000 0.5000 0.0000  6 Te 3.53-3.54
Dy1 0.0000 0.0000 0.5000  6 Te 3.09
Dy2 0.0000 0.5000 0.0000  6 Te 3.09
Dy3 0.5000 0.0000 0.0000  6 Te 3.09
Zr1 0.5000 0.5000 0.5000  6 Te 2.97
Te1 0.2364 0.2364 0.2364  3 Dy 3.09
Te2 0.2462 0.7277 0.7277  1 Zr 2.97, 2 Dy 3.09
Te3 0.2723 0.2723 0.7538  1 Zr 2.97, 2 Dy 3.09
Te4 0.2723 0.7538 0.2723  1 Zr 2.97, 2 Dy 3.09
Te5 0.7277 0.2462 0.7277  1 Zr 2.97, 2 Dy 3.09
Te6 0.7277 0.7277 0.2462  1 Zr 2.97, 2 Dy 3.09
Te7 0.7538 0.2723 0.2723  1 Zr 2.97, 2 Dy 3.09
Te8 0.7636 0.7636 0.7636  3 Dy 3.09



(5)
Compound: Cs2MgAlGa
Source: Alexandria via LeMat-Bulk
Functional: PBE-GGA
Structure: relaxed

Calculated values
The theoretical density is 2.5 Mg/m³. The value obtained for the energy of formation is 0.33 eV/atom.

a = 7.3555 Å, b = 7.3555 Å, c = 4.8346 Å
α = 90.00°, β = 90.00°, γ = 90.00°
Closest atoms and distances in Å follow each position.
Fractional coordinates of all 5 atoms:
Cs1 0.0000 0.5000 0.0000  2 Ga 3.68
Cs2 0.5000 0.0000 0.0000  2 Ga 3.68
Mg1 0.0000 0.0000 0.5000  8 Cs 4.40, 2 Mg 4.83
Al1 0.5000 0.5000 0.5000  2 Ga 2.42
Ga1 0.5000 0.5000 0.0000  2 Al 2.42



(6)
Compound: TcP2Au
Source: Alexandria via LeMat-Bulk
Functional: PBE-GGA
Structure: relaxed

Calculated values
The distance to the lowest polymorph of the same formula is 0.1960 eV per atom. The theoretical density is 9.5 Mg/m³. The value obtained for the energy of formation is 0.04 eV/atom.

a = 2.9713 Å, b = 2.9713 Å, c = 7.0761 Å
α = 90.00°, β = 90.00°, γ = 90.00°
Closest atoms and distances in Å follow each position.
Fractional coordinates of all 4 atoms:
Tc1 0.0000 0.0000 0.0000  8 P 2.53
P1 0.5000 0.5000 0.1981  4 Tc 2.53, 1 P 2.80
P2 0.5000 0.5000 0.8019  4 Tc 2.53, 1 P 2.80
Au1 0.0000 0.0000 0.5000  4 Au 2.97, 8 P 3.00



(7)
Compound: LiSmS2
Source: Alexandria via LeMat-Bulk
Functional: PBE-GGA
Structure: relaxed

Calculated values
The uncorrected formation energy comes out at -1806 meV/atom. The theoretical density is 4.3 Mg/m³.

a = 6.6166 Å, b = 6.6166 Å, c = 6.6166 Å
α = 35.25°, β = 35.25°, γ = 35.25°
Closest atoms and distances in Å follow each position.
Fractional coordinates of all 4 atoms:
Li1 0.0000 0.0000 0.0000  6 S 2.77
Sm1 0.5000 0.5000 0.5000  6 S 2.80
S1 0.2515 0.2515 0.2515  3 Li 2.77, 3 Sm 2.80
S2 0.7485 0.7485 0.7485  3 Li 2.77, 3 Sm 2.80



(8)
Compound: Pr2TlAg
Source: Alexandria via LeMat-Bulk
Functional: PBE-GGA
Structure: relaxed

Calculated values
The distance to the lowest polymorph of the same formula is 0.0022 eV per atom. The theoretical density is 8.6 Mg/m³. The value obtained for the energy of formation is -0.31 eV/atom.

a = 3.7828 Å, b = 3.7828 Å, c = 8.0498 Å
α = 90.00°, β = 90.00°, γ = 90.00°
Closest atoms and distances in Å follow each position.
Fractional coordinates of all 4 atoms:
Pr1 0.0000 0.0000 0.2367  4 Ag 3.28, 4 Tl 3.41
Pr2 0.0000 0.0000 0.7633  4 Ag 3.28, 4 Tl 3.41
Tl1 0.5000 0.5000 0.5000  8 Pr 3.41, 4 Tl 3.78
Ag1 0.5000 0.5000 0.0000  8 Pr 3.28



(9)
Compound: Pa2SnAu
Source: Alexandria via LeMat-Bulk
Functional: PBE-GGA
Structure: relaxed

Calculated values
The distance to the lowest polymorph of the same formula is 0.4227 eV per atom. The theoretical density is 13.0 Mg/m³. The value obtained for the energy of formation is 0.19 eV/atom.

a = 11.7533 Å, b = 11.7533 Å, c = 11.7533 Å
α = 15.35°, β = 15.35°, γ = 15.35°
Closest atoms and distances in Å follow each position.
Fractional coordinates of all 4 atoms:
Pa1 0.0871 0.0871 0.0871  1 Au 3.03, 6 Pa 3.14, 3 Sn 3.31
Pa2 0.9129 0.9129 0.9129  1 Au 3.03, 6 Pa 3.14, 3 Sn 3.31
Sn1 0.5000 0.5000 0.5000  6 Sn 3.14, 6 Pa 3.31
Au1 0.0000 0.0000 0.0000  2 Pa 3.03, 6 Au 3.14



(10)
Compound: Sn5S
Source: Alexandria via LeMat-Bulk
Functional: PBE-GGA
Structure: relaxed

Calculated values
The uncorrected formation energy comes out at 15 meV/atom. The theoretical density is 6.7 Mg/m³.

a = 8.5117 Å, b = 8.5117 Å, c = 3.4716 Å
α = 90.00°, β = 90.00°, γ = 142.04°
Closest atoms and distances in Å follow each position.
Fractional coordinates of all 6 atoms:
Sn1 0.0000 0.0000 0.0000  4 S 3.27, 10 Sn 3.36-3.58
Sn2 0.1790 0.8210 0.5000  12 Sn 3.32-3.59
Sn3 0.3586 0.6414 0.0000  2 S 2.86
Sn4 0.6414 0.3586 0.0000  2 S 2.86
Sn5 0.8210 0.1790 0.5000  12 Sn 3.32-3.59
S1 0.5000 0.5000 0.5000  4 Sn 2.86



(11)
Compound: Pm4Bi3
Source: Alexandria via LeMat-Bulk
Functional: PBE-GGA
Structure: relaxed

Calculated values
The distance to the lowest polymorph of the same formula is 0.0000 eV per atom. The theoretical density is 8.2 Mg/m³. The value obtained for the energy of formation is -0.70 eV/atom.

a = 12.9956 Å, b = 12.9956 Å, c = 12.9956 Å
α = 20.84°, β = 20.84°, γ = 20.84°
Closest atoms and distances in Å follow each position.
Fractional coordinates of all 7 atoms:
Pm1 0.1216 0.1216 0.1216  6 Bi 3.21-3.30
Pm2 0.3653 0.3653 0.3653  3 Bi 3.12
Pm3 0.6347 0.6347 0.6347  3 Bi 3.12
Pm4 0.8784 0.8784 0.8784  6 Bi 3.21-3.30
Bi1 0.2609 0.2609 0.2609  6 Pm 3.12-3.30
Bi2 0.5000 0.5000 0.5000  6 Pm 3.21
Bi3 0.7391 0.7391 0.7391  6 Pm 3.12-3.30



(12)
Compound: MnCr2Ag
Source: Alexandria via LeMat-Bulk
Functional: PBE-GGA
Structure: relaxed

Calculated values
The distance to the lowest polymorph of the same formula is 0.1930 eV per atom. The theoretical density is 8.4 Mg/m³. The value obtained for the energy of formation is 0.49 eV/atom.

a = 8.7658 Å, b = 8.7658 Å, c = 8.7658 Å
α = 17.46°, β = 17.46°, γ = 17.46°
Closest atoms and distances in Å follow each position.
Fractional coordinates of all 4 atoms:
Mn1 0.0000 0.0000 0.0000  3 Cr 2.34
Cr1 0.4794 0.4794 0.4794  9 Cr 2.53-2.66
Cr2 0.7351 0.7351 0.7351  3 Mn 2.34, 3 Cr 2.53
Ag1 0.2397 0.2397 0.2397  6 Ag 2.66, 3 Cr 2.87, 3 Mn 2.87



Repeat the second record exactly.
Compound: Pm2InPd3
Source: Alexandria via LeMat-Bulk
Functional: PBE-GGA
Structure: relaxed

Calculated values
The distance to the lowest polymorph of the same formula is 0.0000 eV per atom. The theoretical density is 8.9 Mg/m³. The value obtained for the energy of formation is -0.71 eV/atom.

a = 6.4920 Å, b = 6.4920 Å, c = 8.7506 Å
α = 109.72°, β = 109.72°, γ = 52.07°
Closest atoms and distances in Å follow each position.
Fractional coordinates of all 12 atoms:
Pm1 0.1809 0.1924 0.0926  6 Pd 2.92-3.21
Pm2 0.1924 0.1809 0.5926  6 Pd 2.92-3.21
Pm3 0.8076 0.8191 0.4074  6 Pd 2.92-3.21
Pm4 0.8191 0.8076 0.9074  6 Pd 2.92-3.21
In1 0.2961 0.7039 0.7500  6 Pd 2.81-2.86
In2 0.7039 0.2961 0.2500  6 Pd 2.81-2.86
Pd1 0.2024 0.7976 0.2500  2 In 2.84-2.86, 4 Pd 3.06-3.11, 2 Pm 3.18
Pd2 0.3689 0.3807 0.4365  1 Pd 2.71, 2 In 2.81-2.83, 4 Pm 2.92-2.99
Pd3 0.3807 0.3689 0.9365  1 Pd 2.71, 2 In 2.81-2.83, 4 Pm 2.92-2.99
Pd4 0.6193 0.6311 0.0635  1 Pd 2.71, 2 In 2.81-2.83, 4 Pm 2.92-2.99
Pd5 0.6311 0.6193 0.5635  1 Pd 2.71, 2 In 2.81-2.83, 4 Pm 2.92-2.99
Pd6 0.7976 0.2024 0.7500  2 In 2.84-2.86, 4 Pd 3.06-3.11, 2 Pm 3.18



> What is the theoretical density in the ninth record?

13.0 Mg/m³



> Among the records above, which one has the highest theoretical density?

Pa2SnAu



> Among the records above, which one has the lowest theoretical density?

Cs2MgAlGa